A plane-wave DFT calculation with PBEsol was carried out for an optimized crystal structure of Mg2ZnCd.

Properties
Relative energy among the computed polymorphs (meV/atom): 3.9
Energy relative to the elements (meV/atom): -80
Fermi-level density of states (states/eV/cell): 1.4

abc: 3.167 4.529 5.593
angles: 90.00 104.95 90.00
Atoms (fractional coordinates):
Mg 0.000 0.000 0.000
Mg 0.316 0.500 0.663
Zn 0.584 0.500 0.180
Cd 0.722 0.000 0.466

A plane-wave DFT calculation with PBEsol was carried out for an optimized crystal structure of Mg2ZnCd.

Properties
Relative energy among the computed polymorphs (meV/atom): 12.6
Energy relative to the elements (meV/atom): -71
Fermi-level density of states (states/eV/cell): 1.4

abc: 4.758 4.758 4.758
angles: 60.00 60.00 60.00
Atoms (fractional coordinates):
Mg 0.250 0.250 0.250
Mg 0.750 0.750 0.750
Zn 0.000 0.000 0.000
Cd 0.500 0.500 0.500

A plane-wave DFT calculation with PBEsol was carried out for an optimized crystal structure of Mg2ZnCd.

Properties
Relative energy among the computed polymorphs (meV/atom): 65.1
Energy relative to the elements (meV/atom): -19
Fermi-level density of states (states/eV/cell): 1.5

abc: 3.249 4.058 5.921
angles: 90.00 90.00 90.00
Atoms (fractional coordinates):
Mg 0.000 0.000 0.000
Mg 0.500 0.500 0.279
Zn 0.000 0.000 0.500
Cd 0.500 0.500 0.758

A plane-wave DFT calculation with PBEsol was carried out for an optimized crystal structure of Mg2ZnCd.

Properties
Relative energy among the computed polymorphs (meV/atom): 30.6
Energy relative to the elements (meV/atom): -53
Fermi-level density of states (states/eV/cell): 1.4

abc: 5.509 5.509 5.092
angles: 111.04 111.04 32.73
Atoms (fractional coordinates):
Mg 0.000 0.000 0.000
Mg 0.224 0.224 0.630
Zn 0.482 0.482 0.509
Cd 0.759 0.759 0.154